# Ca2PrHg2 | Alexandria via LeMat-Bulk | PBE | relaxed
data_Ca2PrHg2
_cell_length_a 5.4067
_cell_length_b 5.3315
_cell_length_c 11.1262
_cell_angle_alpha 90.00
_cell_angle_beta 90.10
_cell_angle_gamma 90.00
_symmetry_space_group_name_H-M 'P 1 21/m 1'
_symmetry_Int_Tables_number 11
_symmetry_space_group_name_Hall '-P 2yb'
loop_
_atom_site_label
_atom_site_fract_x
_atom_site_fract_y
_atom_site_fract_z
Ca1 0.2494 0.2500 0.3273
Ca2 0.2497 0.2500 0.0019
Pr1 0.2506 0.2500 0.6697
Hg1 0.2500 0.7500 0.4974
Hg2 0.2506 0.7500 0.8330
# - calculated density (Mg/m³) = 6.4
# - formation energy (meV per atom) = -371
# - calculated total energy (eV per atom) = -2.248
# - offset from the most stable computed form (eV/atom) = 0.011

# CaPr3Hg | Alexandria via LeMat-Bulk | PBE | relaxed
data_CaPr3Hg
_cell_length_a 11.7571
_cell_length_b 7.7822
_cell_length_c 8.1875
_cell_angle_alpha 90.00
_cell_angle_beta 110.97
_cell_angle_gamma 90.00
_symmetry_space_group_name_H-M 'C 1 2/m 1'
_symmetry_Int_Tables_number 12
_symmetry_space_group_name_Hall '-C 2y'
loop_
_atom_site_label
_atom_site_fract_x
_atom_site_fract_y
_atom_site_fract_z
Ca1 0.0594 0.0000 0.2284
Pr1 0.0536 0.5000 0.2404
Pr2 0.1632 0.2448 0.6484
Hg1 0.2479 0.5000 0.9977
# - calculated density (Mg/m³) = 6.3
# - formation energy (meV per atom) = -95
# - calculated total energy (eV per atom) = -3.423

# CaPrHg3 | Alexandria via LeMat-Bulk | PBE | relaxed
data_CaPrHg3
_cell_length_a 3.6406
_cell_length_b 29.5491
_cell_length_c 5.0334
_cell_angle_alpha 90.00
_cell_angle_beta 90.00
_cell_angle_gamma 90.00
_symmetry_space_group_name_H-M 'C m c m'
_symmetry_Int_Tables_number 63
_symmetry_space_group_name_Hall '-C 2c 2'
loop_
_atom_site_label
_atom_site_fract_x
_atom_site_fract_y
_atom_site_fract_z
Ca1 0.0000 0.2097 0.2500
Pr1 0.0000 0.0753 0.7500
Hg1 0.0000 0.3203 0.2500
Hg2 0.0000 0.3778 0.7500
Hg3 0.0000 0.4760 0.7500
# - calculated density (Mg/m³) = 9.6
# - formation energy (meV per atom) = -455
# - calculated total energy (eV per atom) = -1.993
# - offset from the most stable computed form (eV/atom) = 0.000

# CaPrHg2 | Alexandria via LeMat-Bulk | PBE | relaxed
data_CaPrHg2
_cell_length_a 4.0510
_cell_length_b 4.0510
_cell_length_c 26.4865
_cell_angle_alpha 90.00
_cell_angle_beta 90.00
_cell_angle_gamma 120.00
_symmetry_space_group_name_H-M 'R 3 m'
_symmetry_Int_Tables_number 160
_symmetry_space_group_name_Hall 'R 3 -2"'
loop_
_atom_site_label
_atom_site_fract_x
_atom_site_fract_y
_atom_site_fract_z
Ca1 0.0000 0.0000 0.0000
Pr1 0.0000 0.0000 0.1668
Hg1 0.0000 0.0000 0.4155
Hg2 0.0000 0.0000 0.5842
# - calculated density (Mg/m³) = 7.7
# - formation energy (meV per atom) = -364
# - calculated total energy (eV per atom) = -2.210
# - offset from the most stable computed form (eV/atom) = 0.180

# Ca2PrHg9 | Alexandria via LeMat-Bulk | PBE | relaxed
data_Ca2PrHg9
_cell_length_a 4.7048
_cell_length_b 4.7048
_cell_length_c 14.0894
_cell_angle_alpha 90.00
_cell_angle_beta 90.00
_cell_angle_gamma 90.00
_symmetry_space_group_name_H-M 'P 4/m m m'
_symmetry_Int_Tables_number 123
_symmetry_space_group_name_Hall '-P 4 2'
loop_
_atom_site_label
_atom_site_fract_x
_atom_site_fract_y
_atom_site_fract_z
Ca1 0.0000 0.0000 0.1635
Pr1 0.0000 0.0000 0.5000
Hg1 0.0000 0.5000 0.0000
Hg2 0.0000 0.5000 0.3318
Hg3 0.5000 0.5000 0.1636
Hg4 0.5000 0.5000 0.5000
# - calculated density (Mg/m³) = 10.8
# - formation energy (meV per atom) = -371
# - calculated total energy (eV per atom) = -1.330

# CaPrHg4 | Alexandria via LeMat-Bulk | PBE | relaxed
data_CaPrHg4
_cell_length_a 8.8640
_cell_length_b 8.6182
_cell_length_c 5.0095
_cell_angle_alpha 90.00
_cell_angle_beta 124.28
_cell_angle_gamma 90.00
_symmetry_space_group_name_H-M 'C 1 2 1'
_symmetry_Int_Tables_number 5
_symmetry_space_group_name_Hall 'C 2y'
loop_
_atom_site_label
_atom_site_fract_x
_atom_site_fract_y
_atom_site_fract_z
Ca1 0.0000 0.0000 0.0000
Pr1 0.0000 0.4972 0.5000
Hg1 0.2407 0.6658 0.2406
Hg2 0.2439 0.3318 0.2437
# - calculated density (Mg/m³) = 10.3
# - formation energy (meV per atom) = -447
# - calculated total energy (eV per atom) = -1.778
# - offset from the most stable computed form (eV/atom) = 0.000

Question: Look up the calculated total energy of the second one.
Answer: -3.423 eV per atom

Question: The lowest calculated total energy belongs to which entry?
Answer: CaPr3Hg